No. 1
# Y6TlNi

Y6TlNi after structural relaxation (PBE, Alexandria).

Values from the calculation:
SG: No. 2
VASP energy, eV per atom: -5.85
Formation energy from the elements, eV/atom: 0.0134

```
8
Lattice="6.970 0.000 0.000 -3.484 6.047 0.000 -3.472 -2.012 6.083" Properties=species:S:1:pos:R:3 pbc="T T T"
Y -0.855 -0.029 1.582
Y -1.335 3.783 1.581
Y -2.193 1.735 4.503
Y 2.208 2.300 1.580
Y 1.350 0.252 4.502
Y 0.870 4.065 4.501
Tl 3.485 0.000 0.000
Ni 0.007 2.018 3.042
```

No. 2
# Y4TlNi

Y4TlNi after structural relaxation (PBE, Alexandria).

Values from the calculation:
SG: No. 216
VASP energy, eV per atom: -5.10
Formation energy from the elements, eV/atom: 0.5714

```
6
Lattice="0.000 4.388 4.388 4.388 0.000 4.388 4.388 4.388 0.000" Properties=species:S:1:pos:R:3 pbc="T T T"
Y 1.097 1.097 1.097
Y 3.292 3.292 1.097
Y 3.292 1.097 3.292
Y 1.097 3.292 3.292
Tl 4.388 4.388 4.388
Ni 6.582 6.582 6.582
```

No. 3
# Y12TlNi5

Y12TlNi5 after structural relaxation (PBE, Alexandria).

Values from the calculation:
SG: No. 71
VASP energy, eV per atom: -6.37
Formation energy from the elements, eV/atom: -0.3238

```
18
Lattice="-4.715 4.809 4.966 4.715 -4.809 4.966 4.715 4.809 -4.966" Properties=species:S:1:pos:R:3 pbc="T T T"
Y 4.715 2.973 -2.850
Y 2.768 1.753 0.000
Y 6.663 1.753 0.000
Y 1.841 4.809 -1.763
Y 2.874 0.000 3.203
Y 0.000 1.836 2.117
Y 4.715 2.973 2.850
Y 1.841 4.809 1.763
Y 2.874 0.000 6.730
Y -1.948 3.056 4.966
Y 1.948 3.056 4.966
Y 0.000 1.836 7.816
Tl 0.000 0.000 4.966
Ni 0.000 0.000 0.000
Ni 4.715 0.000 1.216
Ni 0.000 3.514 0.000
Ni 0.000 6.104 0.000
Ni 0.000 4.809 3.750
```

No. 4
# YTlNi

YTlNi after structural relaxation (PBE, Alexandria).

Values from the calculation:
SG: No. 107
VASP energy, eV per atom: -5.03
Formation energy from the elements, eV/atom: -0.1634

```
3
Lattice="-1.729 1.729 5.359 1.729 -1.729 5.359 1.729 1.729 -5.359" Properties=species:S:1:pos:R:3 pbc="T T T"
Y 0.000 0.000 0.000
Tl 0.000 0.000 3.129
Ni 0.000 0.000 6.972
```

No. 5
# YTlNi

YTlNi after structural relaxation (PBE, Alexandria).

Values from the calculation:
SG: No. 51
VASP energy, eV per atom: -5.23
Formation energy from the elements, eV/atom: -0.3579

```
18
Lattice="13.281 0.000 0.000 0.000 3.728 0.000 0.000 0.000 7.695" Properties=species:S:1:pos:R:3 pbc="T T T"
Y 0.619 0.000 1.702
Y 3.320 0.000 6.544
Y 6.022 0.000 1.702
Y 7.259 0.000 5.993
Y 9.961 0.000 1.151
Y 12.662 0.000 5.993
Tl 1.573 1.864 4.443
Tl 3.320 1.864 1.432
Tl 5.067 1.864 4.443
Tl 8.214 1.864 3.251
Tl 9.961 1.864 6.263
Tl 11.708 1.864 3.251
Ni 1.168 1.864 7.264
Ni 3.320 0.000 3.436
Ni 5.472 1.864 7.264
Ni 7.809 1.864 0.431
Ni 9.961 0.000 4.259
Ni 12.113 1.864 0.431
```

No. 6
# Y2Tl2Ni

Y2Tl2Ni after structural relaxation (PBE, Alexandria).

Values from the calculation:
SG: No. 127
VASP energy, eV per atom: -4.71
Formation energy from the elements, eV/atom: -0.0259

```
10
Lattice="7.239 0.000 0.000 0.000 7.239 0.000 0.000 0.000 5.156" Properties=species:S:1:pos:R:3 pbc="T T T"
Y 1.201 2.418 0.000
Y 2.418 6.038 0.000
Y 4.821 1.201 0.000
Y 6.038 4.821 0.000
Tl 1.120 4.739 2.578
Tl 2.500 1.120 2.578
Tl 4.739 6.119 2.578
Tl 6.119 2.500 2.578
Ni 0.000 0.000 0.000
Ni 3.620 3.620 0.000
```

No. 7
# Y7Tl2Ni2

Y7Tl2Ni2 after structural relaxation (PBE, Alexandria).

Values from the calculation:
SG: No. 65
VASP energy, eV per atom: -5.79
Formation energy from the elements, eV/atom: -0.1931

```
11
Lattice="3.987 -5.602 0.000 3.987 5.602 0.000 0.000 0.000 6.997" Properties=species:S:1:pos:R:3 pbc="T T T"
Y 0.000 0.000 0.000
Y 1.994 2.801 1.708
Y 1.994 2.801 5.289
Y 1.994 -2.801 1.708
Y 1.994 -2.801 5.289
Y 3.987 0.000 1.640
Y 3.987 0.000 5.357
Tl 1.452 0.000 3.498
Tl 6.522 0.000 3.498
Ni 3.987 2.303 0.000
Ni 3.987 -2.303 0.000
```

No. 8
# Y6Tl2Ni

Y6Tl2Ni after structural relaxation (PBE, Alexandria).

Values from the calculation:
SG: No. 14
VASP energy, eV per atom: -5.69
Formation energy from the elements, eV/atom: -0.2137

```
18
Lattice="6.305 0.000 0.000 0.000 8.410 0.000 -6.112 0.000 9.868" Properties=species:S:1:pos:R:3 pbc="T T T"
Y -2.237 1.529 4.414
Y -5.292 2.676 9.348
Y -0.751 5.705 4.440
Y -3.807 6.910 9.374
Y 0.731 0.225 2.531
Y -2.325 3.980 7.465
Y 2.518 4.430 2.403
Y -0.538 8.185 7.337
Y 4.000 1.500 0.494
Y 0.944 2.705 5.428
Y 5.485 5.734 0.520
Y 2.429 6.881 5.454
Tl -3.482 0.988 7.394
Tl -0.426 3.218 2.460
Tl 0.619 5.193 7.408
Tl 3.675 7.423 2.474
Ni 0.000 0.000 0.000
Ni -3.056 4.205 4.934
```

Question: formation energy from the elements of number 2 (Y4TlNi)?
Answer: 0.5714 eV/atom

Question: Which value of VASP energy does entry 4 give?
Answer: -5.03 eV per atom